# PaTi2Cu

Crystalline PaTi2Cu at its relaxed geometry (PBE-GGA, the Alexandria database).

Values from the calculation:
Crystal system: tetragonal
Formation energy from the elements, eV/atom: 0.09
Total energy, eV per atom: -7.25
Space-group type: P4/mmm, No. 123

Structure (POSCAR):
```
PaTi2Cu
1.0
3.344 0.000 0.000
0.000 3.344 0.000
0.000 0.000 6.258
Cu Pa Ti
1 1 2
direct
0.500 0.500 0.000 Cu
0.500 0.500 0.500 Pa
0.000 0.000 0.764 Ti
0.000 0.000 0.236 Ti
```